# 1
## PRhPbS2 (PBE)

Data for crystalline PRhPbS2 at its relaxed geometry.

The energy above the most stable polymorph in this dataset comes out at 0 meV per atom. As for the magnetization: 0.00 μB/cell. The value obtained for the uncorrected formation energy is 0.13 eV per atom. Its uncorrected energy is -0.1771 hartree per atom. Its density of states at the Fermi level is 3.8 states/eV/cell.

Cell: 5.003 5.003 4.326 Å, 90.00 90.00 90.00°
Space group P4/mmm (No. 123)
One atom of each set of equivalent atoms:
P 0.000 0.000 0.000 x1
Rh 0.000 0.000 0.500 x1
Pb 0.500 0.500 0.000 x1
S 0.000 0.500 0.500 x2



# 2
## CuC3Br (PBE)

Data for crystalline CuC3Br at its relaxed geometry.

The energy above the most stable polymorph in this dataset comes out at 683 meV per atom. As for the magnetization: 0.00 μB/cell. The value obtained for the uncorrected formation energy is 3.68 eV per atom. Its uncorrected energy is -0.1107 hartree per atom. Its density of states at the Fermi level is 2.8 states/eV/cell.

Cell: 3.958 3.958 3.958 Å, 90.00 90.00 90.00°
Space group Pm-3m (No. 221)
One atom of each set of equivalent atoms:
Cu 0.000 0.000 0.000 x1
C 0.000 0.500 0.500 x3
Br 0.500 0.500 0.500 x1



# 3
## AcH11Rh5 (PBE)

Data for crystalline AcH11Rh5 at its relaxed geometry.

As for the magnetization: 0.00 μB/cell. Its uncorrected energy is -0.1721 hartree per atom. Its density of states at the Fermi level is 15.4 states/eV/cell.

Cell: 5.792 8.515 7.275 Å, 90.00 111.66 90.00°
Space group C2/m (No. 12)
One atom of each set of equivalent atoms:
Ac 0.000 0.000 0.000 x2
H 0.000 0.000 0.500 x2
H 0.063 0.500 0.279 x4
H 0.096 0.177 0.362 x8
H 0.175 0.321 0.097 x8
Rh 0.000 0.500 0.000 x2
Rh 0.223 0.163 0.656 x8



# 4
## K4Os3 (PBE)

Data for crystalline K4Os3 at its relaxed geometry.

As for the magnetization: 0.00 μB/cell. Its uncorrected energy is -0.1592 hartree per atom. Its density of states at the Fermi level is 3.8 states/eV/cell.

Cell: 5.3640 5.3640 6.5278 Å, 90.00 90.00 120.00°
Space group P6/mmm (No. 191)
One atom of each set of equivalent atoms:
K 0.0000 0.0000 0.2390 x2
K 0.3333 0.6667 0.0000 x2
Os 0.0000 0.5000 0.5000 x3



# 5
## ScCoN2 (PBE)

Data for crystalline ScCoN2 at its relaxed geometry.

As for the magnetization: 8.00 μB/cell. The value obtained for the uncorrected formation energy is -0.07 eV per atom. Its uncorrected energy is -0.2790 hartree per atom. Its density of states at the Fermi level is 5.5 states/eV/cell.

Cell: 5.325 5.325 5.325 Å, 90.00 90.00 90.00°
Space group Fm-3m (No. 225)
One atom of each set of equivalent atoms:
Sc 0.000 0.000 0.000 x4
Co 0.000 0.000 0.500 x4
N 0.250 0.250 0.250 x8



# 6
## MgZrCd2Rh (PBE)

Data for crystalline MgZrCd2Rh at its relaxed geometry.

As for the magnetization: 0.00 μB/cell. Its uncorrected energy is -0.1200 hartree per atom. Its density of states at the Fermi level is 3.5 states/eV/cell.

Cell: 4.867 4.867 4.601 Å, 90.00 90.00 90.00°
Space group P4/mmm (No. 123)
One atom of each set of equivalent atoms:
Mg 0.000 0.000 0.000 x1
Zr 0.500 0.500 0.500 x1
Cd 0.000 0.500 0.000 x2
Rh 0.000 0.000 0.500 x1



# 7
## Tb3Pm8Sm4 (PBE)

Data for crystalline Tb3Pm8Sm4 at its relaxed geometry.

The energy above the most stable polymorph in this dataset comes out at 196 meV per atom. As for the magnetization: 0.26 μB/cell. Its uncorrected energy is -0.1614 hartree per atom. Its density of states at the Fermi level is 50.0 states/eV/cell.

Cell: 14.023 12.227 6.894 Å, 90.00 119.28 90.00°
Space group C2/m (No. 12)
One atom of each set of equivalent atoms:
Tb 0.000 0.000 0.000 x2
Tb 0.250 0.250 0.500 x4
Pm 0.000 0.202 0.500 x4
Pm 0.000 0.252 0.000 x4
Pm 0.202 0.000 0.699 x4
Pm 0.248 0.500 0.752 x4
Sm 0.000 0.500 0.000 x2
Sm 0.000 0.500 0.500 x2
Sm 0.250 0.250 0.000 x4



# 8
## LiTmCd6 (PBE)

Data for crystalline LiTmCd6 at its relaxed geometry.

The energy above the most stable polymorph in this dataset comes out at 0 meV per atom. As for the magnetization: 0.00 μB/cell. Its uncorrected energy is -0.0616 hartree per atom. Its density of states at the Fermi level is 4.3 states/eV/cell.

Cell: 4.531 4.531 8.653 Å, 90.00 90.00 90.00°
Space group P4/mmm (No. 123)
One atom of each set of equivalent atoms:
Li 0.000 0.000 0.000 x1
Tm 0.000 0.000 0.500 x1
Cd 0.000 0.500 0.237 x4
Cd 0.500 0.500 0.000 x1
Cd 0.500 0.500 0.500 x1



# 9
## Dy6TmAl2 (PBE)

Data for crystalline Dy6TmAl2 at its relaxed geometry.

The energy above the most stable polymorph in this dataset comes out at 0 meV per atom. As for the magnetization: 0.00 μB/cell. Its uncorrected energy is -0.1677 hartree per atom. Its density of states at the Fermi level is 21.4 states/eV/cell.

Cell: 12.497 3.657 11.714 Å, 90.00 108.93 90.00°
Space group C2/m (No. 12)
One atom of each set of equivalent atoms:
Dy 0.023 0.000 0.329 x4
Dy 0.186 0.500 0.877 x4
Dy 0.188 0.500 0.589 x4
Tm 0.000 0.000 0.000 x2
Al 0.148 0.500 0.201 x4